No. 1
Material: K2PbCl
Method: DFT, GGA-PBE
State: relaxed

Calculated values
* N(E_F): 21.6 states/eV per cell
* total magnetization: 3.96 μB/cell
* final energy: -2.25 eV/atom
* E_form (uncorrected): -30.10 kJ/mol of atoms
* ΔE to the lowest computed polymorph: 629 meV/atom
* crystal system: cubic

Cell: 8.472 8.472 8.472 Å, 90.00 90.00 90.00°
Space group F-43m (No. 216)
One atom of each set of equivalent atoms:
1 K 0.000 0.000 0.000
2 K 0.250 0.250 0.250
3 Pb 0.250 0.250 0.750
4 Cl 0.000 0.000 0.500



No. 2
Material: K2PbCl
Method: DFT, GGA-PBE
State: relaxed

Calculated values
* N(E_F): 1.3 states/eV per cell
* total magnetization: 0.00 μB/cell
* final energy: -2.88 eV/atom
* E_form (uncorrected): -90.82 kJ/mol of atoms
* ΔE to the lowest computed polymorph: 0 meV/atom
* crystal system: orthorhombic

Cell: 3.636 3.717 9.597 Å, 90.00 90.00 90.00°
Space group Pmmm (No. 47)
One atom of each set of equivalent atoms:
1 K 0.000 0.000 0.199
2 Pb 0.500 0.500 0.500
3 Cl 0.500 0.500 0.000



No. 3
Material: K2PbCl5
Method: DFT, GGA-PBE
State: relaxed

Calculated values
* N(E_F): 10.4 states/eV per cell
* total magnetization: 0.00 μB/cell
* final energy: -3.28 eV/atom
* E_form (uncorrected): -133.68 kJ/mol of atoms
* ΔE to the lowest computed polymorph: 0 meV/atom
* crystal system: orthorhombic

Cell: 5.549 15.910 14.358 Å, 90.00 90.00 90.00°
Space group Cmcm (No. 63)
One atom of each set of equivalent atoms:
1 K 0.000 0.148 0.068
2 Pb 0.000 0.160 0.750
3 Cl 0.000 0.044 0.617
4 Cl 0.000 0.279 0.608
5 Cl 0.000 0.317 0.250



No. 4
Material: KPbCl
Method: DFT, GGA-PBE
State: relaxed

Calculated values
* N(E_F): 1.2 states/eV per cell
* total magnetization: 0.00 μB/cell
* final energy: -3.32 eV/atom
* E_form (uncorrected): -106.60 kJ/mol of atoms
* ΔE to the lowest computed polymorph: 0 meV/atom
* crystal system: tetragonal

Cell: 4.289 4.289 11.343 Å, 90.00 90.00 90.00°
Space group P4/nmm (No. 129, origin choice 2)
One atom of each set of equivalent atoms:
1 K 0.250 0.250 0.148
2 Pb 0.250 0.250 0.560
3 Cl 0.250 0.250 0.863



No. 5
Material: K5Pb3Cl12
Method: DFT, GGA-PBE
State: relaxed

Calculated values
* N(E_F): 176.8 states/eV per cell
* total magnetization: 11.33 μB/cell
* final energy: -3.28 eV/atom
* E_form (uncorrected): -129.18 kJ/mol of atoms
* crystal system: cubic

Cell: 17.673 17.673 17.673 Å, 90.00 90.00 90.00°
Space group Ia-3d (No. 230)
One atom of each set of equivalent atoms:
1 K 0.000 0.000 0.000
2 K 0.000 0.250 0.375
3 Pb 0.000 0.250 0.125
4 Cl 0.020 0.085 0.653



No. 6
Material: KPb4Cl8
Method: DFT, GGA-PBE
State: relaxed

Calculated values
* N(E_F): 21.9 states/eV per cell
* total magnetization: 0.00 μB/cell
* final energy: -3.50 eV/atom
* E_form (uncorrected): -109.72 kJ/mol of atoms
* crystal system: cubic

Cell: 12.673 12.673 12.673 Å, 90.00 90.00 90.00°
Space group F-43m (No. 216)
One atom of each set of equivalent atoms:
1 K 0.000 0.000 0.000
2 Pb 0.123 0.123 0.623
3 Cl 0.108 0.108 0.392
4 Cl 0.140 0.140 0.860



No. 7
Material: K2PbCl5
Method: DFT, GGA-PBE
State: relaxed

Calculated values
* N(E_F): 22.4 states/eV per cell
* total magnetization: 0.00 μB/cell
* final energy: -3.27 eV/atom
* E_form (uncorrected): -133.30 kJ/mol of atoms
* ΔE to the lowest computed polymorph: 4 meV/atom
* crystal system: orthorhombic

Cell: 12.677 8.950 8.174 Å, 90.00 90.00 90.00°
Space group Pnma (No. 62)
One atom of each set of equivalent atoms:
1 K 0.169 0.006 0.069
2 Pb 0.006 0.250 0.572
3 Cl 0.011 0.250 0.925
4 Cl 0.070 0.544 0.674
5 Cl 0.189 0.250 0.388
6 Cl 0.205 0.750 0.347



No. 8
Material: KPbCl4
Method: DFT, GGA-PBE
State: relaxed

Calculated values
* N(E_F): 18.3 states/eV per cell
* total magnetization: 4.19 μB/cell
* final energy: -2.43 eV/atom
* E_form (uncorrected): -38.50 kJ/mol of atoms
* crystal system: cubic

Cell: 8.708 8.708 8.708 Å, 90.00 90.00 90.00°
Space group F-43m (No. 216)
One atom of each set of equivalent atoms:
1 K 0.000 0.000 0.000
2 Pb 0.250 0.250 0.750
3 Cl 0.125 0.125 0.375